# 1
# LiPmCd2 (PBE, optimized geometry)
data_LiPmCd2
_chemical_formula_sum 'Li1 Pm1 Cd2'
_space_group_name_H-M_alt 'P 1'
_space_group_IT_number 1
_cell_length_a 3.487
_cell_length_b 3.487
_cell_length_c 7.641
_cell_angle_alpha 90.00
_cell_angle_beta 90.00
_cell_angle_gamma 90.00
loop_
_space_group_symop_operation_xyz
'x,y,z'
loop_
_atom_site_label
_atom_site_fract_x
_atom_site_fract_y
_atom_site_fract_z
Li1 0.000 0.000 0.000
Pm1 0.000 0.000 0.500
Cd1 0.500 0.500 0.206
Cd2 0.500 0.500 0.794
# - Relative energy among the computed polymorphs: 0.017 eV/atom
# - ΔE_f: -0.263 eV per atom
# - M_tot: 0.109 Bohr magnetons per cell
# - DOS(E_F): 3.443 states/eV/cell
# - Total energy: -9.55 eV for the cell shown

# 2
# NaGa2F (PBE, optimized geometry)
data_NaGa2F
_chemical_formula_sum 'Na4 Ga8 F4'
_space_group_name_H-M_alt 'P 1'
_space_group_IT_number 1
_cell_length_a 6.862
_cell_length_b 6.862
_cell_length_c 6.862
_cell_angle_alpha 90.00
_cell_angle_beta 90.00
_cell_angle_gamma 90.00
loop_
_space_group_symop_operation_xyz
'x,y,z'
loop_
_atom_site_label
_atom_site_fract_x
_atom_site_fract_y
_atom_site_fract_z
Na1 0.000 0.000 0.000
Na2 0.000 0.500 0.500
Na3 0.500 0.000 0.500
Na4 0.500 0.500 0.000
Ga1 0.250 0.250 0.250
Ga2 0.250 0.250 0.750
Ga3 0.250 0.750 0.250
Ga4 0.250 0.750 0.750
Ga5 0.750 0.250 0.250
Ga6 0.750 0.250 0.750
Ga7 0.750 0.750 0.250
Ga8 0.750 0.750 0.750
F1 0.000 0.000 0.500
F2 0.000 0.500 0.000
F3 0.500 0.000 0.000
F4 0.500 0.500 0.500
# - Relative energy among the computed polymorphs: 0.574 eV/atom
# - M_tot: 0.000 Bohr magnetons per cell
# - DOS(E_F): 8.875 states/eV/cell
# - Total energy: -43.00 eV for the cell shown
# - Formation energy without anion corrections: -0.376 eV per atom

# 3
# Tb4Sm3Ho5 (PBE, optimized geometry)
data_Tb4Sm3Ho5
_chemical_formula_sum 'Tb4 Sm3 Ho5'
_space_group_name_H-M_alt 'P 1'
_space_group_IT_number 1
_cell_length_a 6.165
_cell_length_b 7.123
_cell_length_c 8.715
_cell_angle_alpha 90.04
_cell_angle_beta 90.11
_cell_angle_gamma 90.17
loop_
_space_group_symop_operation_xyz
'x,y,z'
loop_
_atom_site_label
_atom_site_fract_x
_atom_site_fract_y
_atom_site_fract_z
Tb1 0.167 0.000 0.168
Tb2 0.332 0.250 0.833
Tb3 0.668 0.750 0.167
Tb4 0.833 0.000 0.832
Sm1 0.333 0.750 0.833
Sm2 0.500 0.500 0.500
Sm3 0.667 0.250 0.167
Ho1 0.001 0.250 0.500
Ho2 0.166 0.500 0.168
Ho3 0.500 0.000 0.500
Ho4 0.834 0.500 0.832
Ho5 0.999 0.750 0.500
# - Relative energy among the computed polymorphs: 0.000 eV/atom
# - ΔE_f: 0.016 eV per atom
# - M_tot: 0.000 Bohr magnetons per cell
# - DOS(E_F): 15.173 states/eV/cell
# - Total energy: -55.38 eV for the cell shown

# 4
# Sc2AsO (PBE, optimized geometry)
data_Sc2AsO
_chemical_formula_sum 'Sc8 As4 O4'
_space_group_name_H-M_alt 'P 1'
_space_group_IT_number 1
_cell_length_a 5.534
_cell_length_b 5.534
_cell_length_c 10.273
_cell_angle_alpha 90.00
_cell_angle_beta 90.00
_cell_angle_gamma 90.00
loop_
_space_group_symop_operation_xyz
'x,y,z'
loop_
_atom_site_label
_atom_site_fract_x
_atom_site_fract_y
_atom_site_fract_z
Sc1 0.171 0.250 0.125
Sc2 0.250 0.671 0.375
Sc3 0.250 0.829 0.875
Sc4 0.329 0.250 0.625
Sc5 0.671 0.750 0.625
Sc6 0.750 0.171 0.875
Sc7 0.750 0.329 0.375
Sc8 0.829 0.750 0.125
As1 0.000 0.000 0.500
As2 0.000 0.500 0.750
As3 0.500 0.000 0.250
As4 0.500 0.500 0.000
O1 0.000 0.000 0.000
O2 0.000 0.500 0.250
O3 0.500 0.000 0.750
O4 0.500 0.500 0.500
# - Relative energy among the computed polymorphs: 0.000 eV/atom
# - M_tot: 0.000 Bohr magnetons per cell
# - DOS(E_F): 8.901 states/eV/cell
# - Total energy: -119.28 eV for the cell shown
# - Formation energy without anion corrections: -1.887 eV per atom

# 5
# Ca2NbCoH (PBE, optimized geometry)
data_Ca2NbCoH
_chemical_formula_sum 'Ca2 Nb1 Co1 H1'
_space_group_name_H-M_alt 'P 1'
_space_group_IT_number 1
_cell_length_a 5.278
_cell_length_b 5.278
_cell_length_c 3.308
_cell_angle_alpha 90.00
_cell_angle_beta 90.00
_cell_angle_gamma 90.00
loop_
_space_group_symop_operation_xyz
'x,y,z'
loop_
_atom_site_label
_atom_site_fract_x
_atom_site_fract_y
_atom_site_fract_z
Ca1 0.000 0.500 0.000
Ca2 0.500 0.000 0.000
Nb1 0.000 0.000 0.500
Co1 0.500 0.500 0.500
H1 0.500 0.500 0.000
# - M_tot: 1.864 Bohr magnetons per cell
# - DOS(E_F): 4.612 states/eV/cell
# - Total energy: -21.90 eV for the cell shown

# 6
# MgZr3Co8 (PBE, optimized geometry)
data_MgZr3Co8
_chemical_formula_sum 'Mg1 Zr3 Co8'
_space_group_name_H-M_alt 'P 1'
_space_group_IT_number 1
_cell_length_a 8.449
_cell_length_b 8.449
_cell_length_c 8.449
_cell_angle_alpha 33.51
_cell_angle_beta 33.51
_cell_angle_gamma 33.51
loop_
_space_group_symop_operation_xyz
'x,y,z'
loop_
_atom_site_label
_atom_site_fract_x
_atom_site_fract_y
_atom_site_fract_z
Mg1 0.000 0.000 0.000
Zr1 0.122 0.122 0.122
Zr2 0.503 0.503 0.503
Zr3 0.630 0.630 0.630
Co1 0.064 0.064 0.565
Co2 0.064 0.565 0.064
Co3 0.066 0.563 0.563
Co4 0.314 0.314 0.314
Co5 0.563 0.066 0.563
Co6 0.563 0.563 0.066
Co7 0.565 0.064 0.064
Co8 0.814 0.814 0.814
# - ΔE_f: -0.268 eV per atom
# - M_tot: 5.689 Bohr magnetons per cell
# - DOS(E_F): 15.801 states/eV/cell
# - Total energy: -87.31 eV for the cell shown

# 7
# CdTe2NCl (PBE, optimized geometry)
data_CdTe2NCl
_chemical_formula_sum 'Cd1 Te2 N1 Cl1'
_space_group_name_H-M_alt 'P 1'
_space_group_IT_number 1
_cell_length_a 6.331
_cell_length_b 6.331
_cell_length_c 3.285
_cell_angle_alpha 90.00
_cell_angle_beta 90.00
_cell_angle_gamma 90.00
loop_
_space_group_symop_operation_xyz
'x,y,z'
loop_
_atom_site_label
_atom_site_fract_x
_atom_site_fract_y
_atom_site_fract_z
Cd1 0.000 0.000 0.000
Te1 0.000 0.500 0.500
Te2 0.500 0.000 0.500
N1 0.500 0.500 0.000
Cl1 0.500 0.500 0.500
# - Relative energy among the computed polymorphs: 0.000 eV/atom
# - M_tot: 0.000 Bohr magnetons per cell
# - DOS(E_F): 3.165 states/eV/cell
# - Total energy: -11.57 eV for the cell shown
# - Formation energy without anion corrections: 1.160 eV per atom

# 8
# DyFe2Ge3 (PBE, optimized geometry)
data_DyFe2Ge3
_chemical_formula_sum 'Dy2 Fe4 Ge6'
_space_group_name_H-M_alt 'P 1'
_space_group_IT_number 1
_cell_length_a 5.991
_cell_length_b 5.991
_cell_length_c 5.415
_cell_angle_alpha 90.00
_cell_angle_beta 90.00
_cell_angle_gamma 77.61
loop_
_space_group_symop_operation_xyz
'x,y,z'
loop_
_atom_site_label
_atom_site_fract_x
_atom_site_fract_y
_atom_site_fract_z
Dy1 0.148 0.852 0.750
Dy2 0.852 0.148 0.250
Fe1 0.293 0.293 0.000
Fe2 0.293 0.293 0.500
Fe3 0.707 0.707 0.000
Fe4 0.707 0.707 0.500
Ge1 0.034 0.613 0.250
Ge2 0.387 0.966 0.250
Ge3 0.469 0.531 0.250
Ge4 0.531 0.469 0.750
Ge5 0.613 0.034 0.750
Ge6 0.966 0.387 0.750
# - ΔE_f: -0.301 eV per atom
# - M_tot: 0.000 Bohr magnetons per cell
# - DOS(E_F): 7.498 states/eV/cell
# - Total energy: -74.37 eV for the cell shown

# 9
# Pr6DySn4 (PBE, optimized geometry)
data_Pr6DySn4
_chemical_formula_sum 'Pr6 Dy1 Sn4'
_space_group_name_H-M_alt 'P 1'
_space_group_IT_number 1
_cell_length_a 8.356
_cell_length_b 8.356
_cell_length_c 8.356
_cell_angle_alpha 122.16
_cell_angle_beta 122.16
_cell_angle_gamma 86.31
loop_
_space_group_symop_operation_xyz
'x,y,z'
loop_
_atom_site_label
_atom_site_fract_x
_atom_site_fract_y
_atom_site_fract_z
Pr1 0.000 0.500 0.500
Pr2 0.003 0.003 0.682
Pr3 0.322 0.322 0.318
Pr4 0.500 0.000 0.500
Pr5 0.678 0.997 0.000
Pr6 0.997 0.678 0.000
Dy1 0.500 0.500 0.000
Sn1 0.132 0.132 0.465
Sn2 0.333 0.868 0.000
Sn3 0.667 0.667 0.535
Sn4 0.868 0.333 0.000
# - ΔE_f: -0.361 eV per atom
# - M_tot: 0.003 Bohr magnetons per cell
# - DOS(E_F): 11.646 states/eV/cell
# - Total energy: -53.26 eV for the cell shown

# 10
# BeZn3Au (PBE, optimized geometry)
data_BeZn3Au
_chemical_formula_sum 'Be1 Zn3 Au1'
_space_group_name_H-M_alt 'P 1'
_space_group_IT_number 1
_cell_length_a 4.322
_cell_length_b 4.322
_cell_length_c 4.322
_cell_angle_alpha 90.00
_cell_angle_beta 90.00
_cell_angle_gamma 90.00
loop_
_space_group_symop_operation_xyz
'x,y,z'
loop_
_atom_site_label
_atom_site_fract_x
_atom_site_fract_y
_atom_site_fract_z
Be1 0.000 0.000 0.000
Zn1 0.000 0.000 0.500
Zn2 0.000 0.500 0.000
Zn3 0.500 0.000 0.000
Au1 0.500 0.500 0.500
# - Relative energy among the computed polymorphs: 0.000 eV/atom
# - ΔE_f: 0.284 eV per atom
# - M_tot: 0.000 Bohr magnetons per cell
# - DOS(E_F): 1.457 states/eV/cell
# - Total energy: -9.41 eV for the cell shown